K3Fe, optimized geometry, DFT GGA-PBEsol; energy relative to the elements = 997 meV/atom; N(E_F) = 1.25 states/eV/atom
1.0
6.187 3.572 1.354
-6.187 3.572 1.354
0.000 -7.144 1.354
K Fe
3 1
Direct
0.000 0.500 0.500
0.500 0.000 0.500
0.500 0.500 0.000
0.000 0.000 0.000